[1]
First-principles (GGA-PBE) data for a geometry-optimized SrY2Ni structure, as listed in the Alexandria database.

Computed properties:
Its space-group type is I-4m2. The value obtained for the polymorph energy (0 for the lowest one) is 472 meV per atom. Its density of states at the Fermi level is 1.3904 states/eV/atom.

Unit cell a=6.2271 b=6.2271 c=6.2271 alpha=136.92 beta=136.92 gamma=62.56
Closest atoms and distances in Å follow each position.
Positions (direct):
Y 0.2500 0.7500 0.5000  4 Sr 3.23, 4 Y 3.51, 4 Ni 3.51
Y 0.0000 0.0000 0.0000  4 Ni 3.23, 4 Y 3.51, 4 Sr 3.51
Ni 0.5000 0.5000 0.0000  8 Y 3.23-3.51, 4 Sr 3.51
Sr 0.7500 0.2500 0.5000  8 Y 3.23-3.51, 4 Ni 3.51



[2]
First-principles (GGA-PBE) data for a geometry-optimized SrY2Ni structure, as listed in the Alexandria database.

Computed properties:
Its space-group type is F-43m. The value obtained for the polymorph energy (0 for the lowest one) is 522 meV per atom. Its density of states at the Fermi level is 1.3944 states/eV/atom.

Unit cell a=5.4212 b=5.4212 c=5.4212 alpha=60.00 beta=60.00 gamma=60.00
Closest atoms and distances in Å follow each position.
Positions (direct):
Y 0.2500 0.2500 0.2500  4 Ni 3.32, 4 Y 3.32
Y 0.0000 0.0000 0.0000  4 Sr 3.32, 4 Y 3.32
Sr 0.7500 0.7500 0.7500  4 Ni 3.32, 4 Y 3.32
Ni 0.5000 0.5000 0.5000  4 Sr 3.32, 4 Y 3.32



[3]
First-principles (GGA-PBE) data for a geometry-optimized SrYNi4 structure, as listed in the Alexandria database.

Computed properties:
Its space-group type is F-43m. Its density of states at the Fermi level is 1.1595 states/eV/atom.

Unit cell a=5.1631 b=5.1631 c=5.1631 alpha=60.00 beta=60.00 gamma=60.00
Closest atoms and distances in Å follow each position.
Positions (direct):
Ni 0.3742 0.3742 0.3742  6 Ni 2.57-2.60
Ni 0.8773 0.3742 0.3742  6 Ni 2.57-2.60
Ni 0.3742 0.8773 0.3742  6 Ni 2.57-2.60
Ni 0.3742 0.3742 0.8773  6 Ni 2.57-2.60
Y 0.0000 0.0000 0.0000  12 Ni 3.03, 4 Sr 3.16
Sr 0.7500 0.7500 0.7500  12 Ni 3.03, 4 Y 3.16



no.,energy of formation from the pure elements (eV/atom),calculated volume (Å³/cell)
1,0.386,111.3
2,0.436,112.7
3,-0.166,97.3